DFT (PBE) results for a relaxed structure of Tb4Sm2Ho7.

As for the space group: P-1 (2).

abc: 9.396 7.934 6.141
angles: 97.46 96.20 65.09
Element x y z (fractional)
1 Tb 0.847 0.922 0.463
2 Tb 0.153 0.078 0.537
3 Tb 0.770 0.385 0.693
4 Tb 0.230 0.615 0.307
5 Ho 0.923 0.462 0.231
6 Ho 0.000 0.000 0.000
7 Ho 0.077 0.538 0.769
8 Ho 0.461 0.229 0.615
9 Ho 0.307 0.154 0.076
10 Ho 0.539 0.771 0.385
11 Ho 0.693 0.846 0.924
12 Sm 0.616 0.307 0.154
13 Sm 0.384 0.693 0.846

---

DFT (PBE) results for a relaxed structure of LuHfAu.

As for the space group: I4mm (107).

abc: 3.352 3.352 6.388
angles: 105.21 105.21 90.00
Element x y z (fractional)
1 Lu 0.995 0.995 0.990
2 Hf 0.679 0.679 0.359
3 Au 0.326 0.326 0.652

---

DFT (PBE) results for a relaxed structure of Li3AlGa2.

Its energy relative to the lowest polymorph listed for this composition is 77 meV/atom. As for the space group: Ibam (72).

abc: 5.358 5.082 8.739
angles: 106.90 107.85 90.00
Element x y z (fractional)
1 Li 0.500 0.750 0.000
2 Li 0.867 0.193 0.386
3 Li 0.500 0.250 0.000
4 Li 0.481 0.307 0.614
5 Li 0.133 0.807 0.614
6 Li 0.519 0.693 0.386
7 Ga 0.949 0.633 0.265
8 Ga 0.684 0.867 0.735
9 Ga 0.316 0.133 0.265
10 Ga 0.051 0.367 0.735
11 Al 0.000 0.250 0.000
12 Al 0.000 0.750 0.000

---

DFT (PBE) results for a relaxed structure of LaSm2Tm7.

Its energy relative to the lowest polymorph listed for this composition is 0 meV/atom. As for the space group: Immm (71).

abc: 5.438 8.881 9.402
angles: 118.20 73.18 127.79
Element x y z (fractional)
1 Tm 0.500 0.500 0.000
2 Tm 0.000 0.799 0.597
3 Tm 0.247 0.638 0.781
4 Tm 0.753 0.362 0.219
5 Tm 0.000 0.201 0.403
6 Tm 0.753 0.144 0.781
7 Tm 0.247 0.856 0.219
8 Sm 0.500 0.700 0.399
9 Sm 0.500 0.300 0.601
10 La 0.000 0.000 0.000

---

Number 1: D(E_F) 1.35 states/eV per atom, raw total energy -0.33793 Ry per atom. Number 2: D(E_F) 1.55 states/eV per atom, raw total energy -0.46457 Ry per atom. Number 3: D(E_F) 0.16 states/eV per atom, raw total energy -0.20181 Ry per atom. Number 4: D(E_F) 1.74 states/eV per atom, raw total energy -0.33201 Ry per atom.